[1]
VASP calculation (GGA-PBE) on Dy8TmTh4 after structural relaxation.

## Properties
E_tot = -68.1 eV per cell

a = 7.375 Å, b = 7.375 Å, c = 9.867 Å
α = 90.00°, β = 111.95°, γ = 120.00°
Sites, in units of the cell vectors:
1 Dy 0.560 0.780 0.340
2 Dy 0.440 0.220 0.660
3 Dy 0.499 0.249 0.306
4 Dy 0.943 0.193 0.694
5 Dy 0.501 0.751 0.694
6 Dy 0.943 0.751 0.694
7 Dy 0.057 0.249 0.306
8 Dy 0.057 0.807 0.306
9 Tm 0.000 0.500 0.500
10 Th 0.000 0.000 0.000
11 Th 0.000 0.500 0.000
12 Th 0.500 0.500 0.000
13 Th 0.500 0.000 0.000

***

[2]
VASP calculation (GGA-PBE) on Dy2Tm8Th after structural relaxation.

## Properties
E_tot = -52.1 eV per cell

a = 4.970 Å, b = 7.848 Å, c = 9.287 Å
α = 104.68°, β = 105.52°, γ = 90.00°
Sites, in units of the cell vectors:
1 Dy 0.772 0.364 0.544
2 Dy 0.228 0.636 0.456
3 Tm 0.410 0.547 0.819
4 Tm 0.681 0.908 0.361
5 Tm 0.864 0.820 0.729
6 Tm 0.955 0.269 0.910
7 Tm 0.136 0.180 0.271
8 Tm 0.319 0.092 0.639
9 Tm 0.590 0.453 0.181
10 Tm 0.045 0.731 0.090
11 Th 0.500 0.000 0.000

***

[3]
VASP calculation (GGA-PBE) on DyTmTh6 after structural relaxation.

## Properties
Energy relative to the lowest polymorph listed for this composition = 0 meV/atom

a = 5.040 Å, b = 5.040 Å, c = 10.086 Å
α = 90.00°, β = 90.00°, γ = 90.00°
Sites, in units of the cell vectors:
1 Dy 0.000 0.000 0.500
2 Tm 0.000 0.000 0.000
3 Th 0.500 0.500 0.000
4 Th 0.500 0.500 0.500
5 Th 0.500 0.000 0.249
6 Th 0.500 0.000 0.751
7 Th 0.000 0.500 0.249
8 Th 0.000 0.500 0.751

***

[4]
VASP calculation (GGA-PBE) on DyTmTh after structural relaxation.

## Properties
Energy relative to the lowest polymorph listed for this composition = 5 meV/atom

a = 3.561 Å, b = 3.561 Å, c = 7.857 Å
α = 103.10°, β = 103.10°, γ = 90.00°
Sites, in units of the cell vectors:
1 Tm 0.672 0.672 0.343
2 Th 0.333 0.333 0.665
3 Dy 0.996 0.996 0.992

***

[5]
VASP calculation (GGA-PBE) on Dy2Tm5Th after structural relaxation.

## Properties
Energy relative to the lowest polymorph listed for this composition = 16 meV/atom

a = 4.975 Å, b = 7.023 Å, c = 14.079 Å
α = 90.00°, β = 90.00°, γ = 90.00°
Sites, in units of the cell vectors:
1 Dy 0.500 0.247 0.624
2 Dy 0.500 0.753 0.376
3 Dy 0.500 0.253 0.124
4 Dy 0.500 0.747 0.876
5 Tm 0.000 0.000 0.000
6 Tm 0.000 0.500 0.500
7 Tm 0.000 0.502 0.751
8 Tm 0.000 0.498 0.249
9 Tm 0.000 0.998 0.251
10 Tm 0.000 0.002 0.749
11 Tm 0.500 0.256 0.876
12 Tm 0.500 0.744 0.124
13 Tm 0.500 0.244 0.376
14 Tm 0.500 0.756 0.624
15 Th 0.000 0.000 0.500
16 Th 0.000 0.500 0.000

***

[6]
VASP calculation (GGA-PBE) on Dy7Tm2Th after structural relaxation.

## Properties
E_tot = -41.3 eV per cell

a = 5.321 Å, b = 9.417 Å, c = 9.417 Å
α = 124.76°, β = 90.00°, γ = 90.00°
Sites, in units of the cell vectors:
1 Dy 0.000 0.799 0.201
2 Dy 0.000 0.201 0.799
3 Dy 0.500 0.067 0.288
4 Dy 0.500 0.933 0.712
5 Dy 0.500 0.288 0.067
6 Dy 0.500 0.712 0.933
7 Dy 0.500 0.500 0.500
8 Tm 0.500 0.702 0.298
9 Tm 0.500 0.298 0.702
10 Th 0.000 0.000 0.000

***

[7]
VASP calculation (GGA-PBE) on Dy6TmTh after structural relaxation.

## Properties
Energy relative to the lowest polymorph listed for this composition = 0 meV/atom

a = 5.021 Å, b = 5.021 Å, c = 9.966 Å
α = 90.00°, β = 90.00°, γ = 90.00°
Sites, in units of the cell vectors:
1 Dy 0.500 0.500 0.000
2 Dy 0.500 0.500 0.500
3 Dy 0.500 0.000 0.251
4 Dy 0.500 0.000 0.749
5 Dy 0.000 0.500 0.251
6 Dy 0.000 0.500 0.749
7 Tm 0.000 0.000 0.000
8 Th 0.000 0.000 0.500

***

[8]
VASP calculation (GGA-PBE) on DyTm4Th after structural relaxation.

## Properties
Energy relative to the lowest polymorph listed for this composition = 326 meV/atom

a = 6.478 Å, b = 6.478 Å, c = 6.478 Å
α = 60.00°, β = 60.00°, γ = 60.00°
Last column: magnetic moment on the atom in μB.
Sites, in units of the cell vectors:
1 Tm 0.625 0.625 0.126  0.22
2 Tm 0.625 0.126 0.625  0.22
3 Tm 0.625 0.625 0.625  0.22
4 Tm 0.126 0.625 0.625  0.22
5 Th 0.250 0.250 0.250  0.37
6 Dy 0.000 0.000 0.000  0.41